First-principles (PBE) data for a relaxed structure of Ni3Pd3Se8, as listed in Alexandria via LeMat-Bulk.

Computed properties:
Formation energy without anion corrections, eV per formula unit: -3.99
Space group: R-3m
DOS at the Fermi energy, states/eV/cell: 6.85

```
Ni3Pd3Se8
1.0
6.3225 0.0103 3.6470
2.1114 5.9596 3.6470
0.0145 0.0103 7.2989
Se Ni Pd
8 3 3
Cartesian
6.3710 4.5096 11.0045 Se
6.4326 4.5532 7.2594 Se
3.1261 4.5770 5.3997 Se
5.3559 1.4269 5.3997 Se
3.0925 4.5532 9.1931 Se
2.0774 1.4705 3.5883 Se
2.0158 1.4269 7.3334 Se
5.3223 1.4031 9.1931 Se
0.0000 0.0000 0.0000 Ni
3.1713 2.2448 5.4778 Ni
5.2771 3.7353 9.1150 Ni
1.0557 2.9798 1.8235 Pd
0.0073 0.0051 3.6495 Pd
3.1613 0.0051 1.8235 Pd
```

=====

First-principles (PBE) data for a relaxed structure of Ni2PdSe, as listed in Alexandria via LeMat-Bulk.

Computed properties:
Formation energy without anion corrections, eV per formula unit: 0.20
Space group: I-42d
DOS at the Fermi energy, states/eV/cell: 6.70

```
Ni2PdSe
1.0
6.7611 0.0000 0.0000
0.0000 6.7611 0.0000
3.3806 3.3806 2.5222
Pd Se Ni
2 2 4
Cartesian
0.0000 0.0000 0.0000 Pd
6.7611 3.3806 1.2611 Pd
3.3806 6.7611 1.2611 Se
3.3806 3.3806 0.0000 Se
5.0708 5.3141 1.8916 Ni
4.8275 1.6903 0.6305 Ni
8.4514 8.2081 1.8916 Ni
1.9336 5.0708 0.6305 Ni
```

=====

First-principles (PBE) data for a relaxed structure of Ni2Pd2Se5, as listed in Alexandria via LeMat-Bulk.

Computed properties:
Formation energy without anion corrections, eV per formula unit: -1.17
Space group: P-1
DOS at the Fermi energy, states/eV/cell: 6.78

```
Ni2Pd2Se5
1.0
-2.6594 -3.5591 -2.2427
4.9368 2.6235 -4.3633
0.9501 -5.2104 3.1629
Se Pd Ni
5 2 2
Cartesian
0.5496 -6.1617 -0.3214 Se
2.6780 0.0157 -3.1216 Se
0.6149 -2.8041 -0.3987 Se
0.0000 0.0000 0.0000 Se
2.6127 -3.3419 -3.0444 Se
0.0945 -3.4585 -2.7863 Pd
3.1331 -2.6875 -0.6568 Pd
1.6474 -1.7046 -4.4251 Ni
1.5801 -4.4414 0.9820 Ni
```

=====

First-principles (PBE) data for a relaxed structure of Ni5PdSe8, as listed in Alexandria via LeMat-Bulk.

Computed properties:
Formation energy without anion corrections, eV per formula unit: -4.21
Space group: F-43m
DOS at the Fermi energy, states/eV/cell: 6.38

```
Ni5PdSe8
1.0
1.6467 -0.1916 6.9643
2.0329 -6.1595 3.0293
6.7995 -0.9094 2.0467
Ni Se Pd
5 8 1
Cartesian
5.5342 -1.4489 6.0105 Ni
3.1409 -4.0850 6.5039 Ni
0.0000 0.0000 0.0000 Ni
5.7282 -4.4454 4.0347 Ni
6.5550 -4.5416 7.5315 Ni
4.9795 -5.5558 6.0287 Se
4.8083 -2.9106 7.7728 Se
9.0749 -6.2875 10.4268 Se
7.0922 -3.2288 5.5931 Se
4.0784 -2.8257 4.6860 Se
8.1316 -3.4297 9.0213 Se
8.3108 -6.1986 7.1956 Se
5.9201 -5.8656 9.4772 Se
2.6198 -1.8151 3.0101 Pd
```

=====

First-principles (PBE) data for a relaxed structure of NiPd3Se3, as listed in Alexandria via LeMat-Bulk.

Computed properties:
Formation energy without anion corrections, eV per formula unit: -1.23
Space group: P2_1/c
DOS at the Fermi energy, states/eV/cell: 19.55

```
NiPd3Se3
1.0
-0.8321 4.3785 4.8620
4.3146 -3.7809 4.1433
6.8935 7.0893 -5.2045
Se Pd Ni
12 12 4
Cartesian
3.1893 2.3130 -0.9593 Se
0.2706 3.4538 5.3930 Se
6.3337 2.3977 2.9080 Se
4.0422 5.2892 0.8928 Se
4.0485 0.2056 5.5594 Se
3.9245 3.5830 5.5661 Se
10.1053 4.2332 -1.5922 Se
6.3275 7.4814 -1.7585 Se
6.4514 4.1039 -1.7652 Se
7.1866 5.3740 4.7602 Se
7.6336 5.7473 1.4310 Se
2.7423 1.9397 2.3699 Se
7.5548 3.4155 0.4020 Pd
9.3310 5.9791 3.3222 Pd
6.2776 7.7652 0.7400 Pd
8.3221 5.8646 -2.0482 Pd
4.0984 -0.0782 3.0608 Pd
2.0538 1.8223 5.8491 Pd
4.7958 2.7389 1.0192 Pd
1.0449 1.7079 0.4786 Pd
4.4175 5.6431 -1.6899 Pd
5.9585 2.0439 5.4908 Pd
5.5802 4.9481 2.7817 Pd
2.8211 4.2715 3.3989 Pd
3.8091 7.3768 2.0321 Ni
6.5668 0.3102 1.7687 Ni
9.7694 5.1396 0.5931 Ni
0.6065 2.5473 3.2077 Ni
```

=====

First-principles (PBE) data for a relaxed structure of Ni2Pd2Se, as listed in Alexandria via LeMat-Bulk.

Computed properties:
Formation energy without anion corrections, eV per formula unit: 1.06
Space group: P4/mbm
DOS at the Fermi energy, states/eV/cell: 11.59
Distance to the lowest polymorph of the same formula, eV per atom: 0.151

```
Ni2Pd2Se
1.0
-6.2103 -0.4984 3.8394
-2.2091 -5.5038 -4.2878
1.2212 -1.8427 1.7361
Ni Pd Se
4 4 2
Cartesian
-5.7098 -3.4627 2.6165 Ni
-5.1763 -6.0831 -0.5401 Ni
-2.0219 -1.7618 1.8278 Ni
-1.4884 -4.3822 -1.3288 Ni
-4.5834 -1.3031 1.8409 Pd
-1.8071 -1.8730 -0.7169 Pd
-3.8360 -4.6991 -2.2894 Pd
-6.6123 -4.1292 0.2685 Pd
0.0000 0.0000 0.0000 Se
-4.2097 -3.0011 -0.2242 Se
```

=====

First-principles (PBE) data for a relaxed structure of NiPd5Se8, as listed in Alexandria via LeMat-Bulk.

Computed properties:
Formation energy without anion corrections, eV per formula unit: -3.96
Space group: F-43m
DOS at the Fermi energy, states/eV/cell: 6.01

```
NiPd5Se8
1.0
6.4532 0.0000 3.7258
2.1511 6.0841 3.7258
0.0000 0.0000 7.4515
Se Pd Ni
8 5 1
Cartesian
7.4425 5.2626 12.8908 Se
3.2668 2.3100 9.2447 Se
4.4746 5.2626 11.1773 Se
7.4425 5.2626 9.4637 Se
6.3728 2.3100 7.4515 Se
4.3021 5.2383 7.4515 Se
6.4532 2.4644 11.1773 Se
3.2668 2.3100 5.6583 Se
2.1615 3.7989 7.4515 Pd
5.3724 3.7989 9.3053 Pd
5.3724 3.7989 5.5977 Pd
4.3021 0.7716 7.4515 Pd
0.0000 0.0000 0.0000 Pd
2.1511 1.5210 3.7258 Ni
```

=====

First-principles (PBE) data for a relaxed structure of Ni3PdSe, as listed in Alexandria via LeMat-Bulk.

Computed properties:
Formation energy without anion corrections, eV per formula unit: 2.23
Space group: Pm-3m
DOS at the Fermi energy, states/eV/cell: 6.25
Distance to the lowest polymorph of the same formula, eV per atom: 0.000

```
Ni3PdSe
1.0
-0.2585 4.2166 -0.8200
-3.5680 -0.6682 -2.3113
-2.3920 0.5411 3.5362
Ni Se Pd
3 1 1
Cartesian
-1.7840 -0.3341 -1.1556 Ni
-1.1960 0.2705 1.7681 Ni
-0.1292 2.1083 -0.4100 Ni
0.0000 0.0000 0.0000 Se
-3.1092 2.0447 0.2025 Pd
```

=====

First-principles (PBE) data for a relaxed structure of NiPd2Se, as listed in Alexandria via LeMat-Bulk.

Computed properties:
Formation energy without anion corrections, eV per formula unit: 0.32
Space group: I-42d
DOS at the Fermi energy, states/eV/cell: 4.84

```
NiPd2Se
1.0
3.7479 0.0000 0.0000
0.0000 3.7479 0.0000
1.8739 1.8739 9.0386
Se Ni Pd
2 2 4
Cartesian
3.7479 1.8739 4.5193 Se
0.0000 0.0000 0.0000 Se
1.8739 3.7479 4.5193 Ni
1.8739 1.8739 0.0000 Ni
4.6848 4.6793 6.7790 Pd
0.9425 2.8109 2.2597 Pd
2.8109 2.8164 6.7790 Pd
2.8054 0.9370 2.2597 Pd
```

=====

First-principles (PBE) data for a relaxed structure of NiPd3Se8, as listed in Alexandria via LeMat-Bulk.

Computed properties:
Formation energy without anion corrections, eV per formula unit: -3.21
Space group: P-1
DOS at the Fermi energy, states/eV/cell: 5.27

```
NiPd3Se8
1.0
-6.5072 -2.0321 -3.1865
6.5229 -1.9165 -3.2180
0.0030 -2.2369 5.7149
Se Pd Ni
8 3 1
Cartesian
1.0643 -4.0653 -4.2043 Se
4.4631 -3.0015 -2.5511 Se
-4.4444 -3.1840 1.8614 Se
-1.0456 -2.1202 3.5146 Se
1.0551 -2.0102 -0.8723 Se
2.1647 -3.0729 1.8133 Se
-1.0364 -4.1754 0.1826 Se
-2.1460 -3.1127 -2.5029 Se
3.2615 -0.9583 -1.6090 Pd
-3.2536 -1.0161 -1.5933 Pd
0.0079 -1.9743 -3.2023 Pd
0.0000 0.0000 0.0000 Ni
```

=====

First-principles (PBE) data for a relaxed structure of NiPd2Se6, as listed in Alexandria via LeMat-Bulk.

Computed properties:
Formation energy without anion corrections, eV per formula unit: -0.39
Space group: P4_2/mnm
DOS at the Fermi energy, states/eV/cell: 21.80
Distance to the lowest polymorph of the same formula, eV per atom: 0.201

```
NiPd2Se6
1.0
5.7183 0.0000 0.0000
0.0000 5.7183 0.0000
0.0000 0.0000 11.7183
Se Pd Ni
12 4 2
Cartesian
1.8027 1.8027 9.8565 Se
1.8027 1.8027 1.8618 Se
1.1594 4.5589 0.0000 Se
4.0186 4.0186 5.8592 Se
3.9156 3.9156 1.8618 Se
1.0564 4.6619 3.9973 Se
1.0564 4.6619 7.7210 Se
4.6619 1.0564 3.9973 Se
4.6619 1.0564 7.7210 Se
3.9156 3.9156 9.8565 Se
4.5589 1.1594 0.0000 Se
1.6997 1.6997 5.8592 Se
0.0000 0.0000 1.9378 Pd
2.8592 2.8592 3.9214 Pd
2.8592 2.8592 7.7969 Pd
0.0000 0.0000 9.7806 Pd
2.8592 2.8592 0.0000 Ni
0.0000 0.0000 5.8592 Ni
```

=====

First-principles (PBE) data for a relaxed structure of NiPd5Se12, as listed in Alexandria via LeMat-Bulk.

Computed properties:
Formation energy without anion corrections, eV per formula unit: -4.59
Space group: C2/m
DOS at the Fermi energy, states/eV/cell: 5.70

```
NiPd5Se12
1.0
6.4515 -0.0001 0.6669
3.2257 5.6242 0.3334
1.0634 -0.0001 10.7441
Se Pd Ni
12 5 1
Cartesian
5.5878 -0.0001 9.9477 Se
5.1527 5.6241 1.7966 Se
2.2185 1.7913 9.5991 Se
6.0422 3.7509 4.6120 Se
7.9241 3.7509 7.4658 Se
2.8165 1.8732 4.2786 Se
4.6984 1.8731 7.1323 Se
1.4701 0.0000 6.7930 Se
6.0448 -0.0001 4.6180 Se
5.4443 3.8327 9.9326 Se
5.2963 1.7914 1.8118 Se
8.5221 3.8327 2.1453 Se
6.4515 3.7490 0.6669 Pd
3.2257 1.8751 0.3334 Pd
3.7574 3.7469 5.7055 Pd
6.9831 1.8772 6.0389 Pd
3.7574 -0.0001 5.7055 Pd
6.4515 -0.0001 0.6669 Ni
```

=====

First-principles (PBE) data for a relaxed structure of Ni2Pd2Se, as listed in Alexandria via LeMat-Bulk.

Computed properties:
Formation energy without anion corrections, eV per formula unit: 0.31
Space group: P4/mbm
DOS at the Fermi energy, states/eV/cell: 11.09
Distance to the lowest polymorph of the same formula, eV per atom: 0.000

```
Ni2Pd2Se
1.0
6.0598 0.0000 0.0000
0.0000 6.0598 0.0000
0.0000 0.0000 3.9387
Ni Pd Se
4 4 2
Cartesian
3.8852 0.8553 0.0000 Ni
5.2045 3.8852 0.0000 Ni
2.1746 5.2045 0.0000 Ni
0.8553 2.1746 0.0000 Ni
2.0515 0.9784 1.9693 Pd
0.9784 4.0083 1.9693 Pd
4.0083 5.0814 1.9693 Pd
5.0814 2.0515 1.9693 Pd
0.0000 0.0000 0.0000 Se
3.0299 3.0299 0.0000 Se
```

=====

First-principles (PBE) data for a relaxed structure of Ni3Pd2Se8, as listed in Alexandria via LeMat-Bulk.

Computed properties:
Formation energy without anion corrections, eV per formula unit: -3.23
Space group: C2/m
DOS at the Fermi energy, states/eV/cell: 6.68

```
Ni3Pd2Se8
1.0
-2.0095 5.9682 -1.2743
-7.0248 -2.3237 0.1946
5.4653 -4.1967 6.4109
Se Ni Pd
8 3 2
Cartesian
2.4892 -0.9614 4.4161 Se
-0.2465 1.0622 3.7830 Se
-1.2018 -2.1823 4.5184 Se
-2.3673 1.6301 0.8129 Se
-6.0583 0.4092 0.9151 Se
-3.8451 0.1635 3.9135 Se
0.2760 -0.7157 1.4177 Se
-3.3226 -1.6143 1.5483 Se
-1.0048 2.9841 -0.6372 Ni
-5.2735 -1.7444 0.1461 Ni
-1.7513 -0.5793 0.0485 Ni
-4.6302 2.3524 1.7125 Pd
1.0611 -2.9046 3.6188 Pd
```

=====

First-principles (PBE) data for a relaxed structure of NiPd2Se5, as listed in Alexandria via LeMat-Bulk.

Computed properties:
Formation energy without anion corrections, eV per formula unit: -0.94
Space group: Cm
DOS at the Fermi energy, states/eV/cell: 4.57

```
NiPd2Se5
1.0
-3.1481 4.2156 2.7739
-4.7509 2.3636 -2.8692
-4.5508 -1.7193 3.5731
Se Ni Pd
5 1 2
Cartesian
-4.8855 -0.2375 1.8204 Se
-5.7426 3.6623 2.5041 Se
-1.8993 2.4316 1.6021 Se
-4.9663 1.4028 -0.7693 Se
-8.0466 2.0850 1.5799 Se
-3.3318 3.9396 2.6048 Ni
-4.8276 3.7515 0.1699 Pd
-4.7235 1.6161 3.5388 Pd
```

=====

First-principles (PBE) data for a relaxed structure of NiTePd2Se, as listed in Alexandria via LeMat-Bulk.

Computed properties:
Formation energy without anion corrections, eV per formula unit: 3.55
Space group: P4/mmm
DOS at the Fermi energy, states/eV/cell: 5.37

```
NiTePd2Se
1.0
-0.7536 -4.5413 0.1136
1.1973 -0.0875 4.4456
-5.3912 0.9314 1.4702
Te Pd Se Ni
1 2 1 1
Cartesian
-2.6956 0.4657 0.7351 Te
0.5986 -0.0437 2.2228 Pd
-0.3768 -2.2707 0.0568 Pd
0.0000 0.0000 0.0000 Se
-2.4738 -1.8487 3.0147 Ni
```

=====

First-principles (PBE) data for a relaxed structure of Tl2NiPdSe2, as listed in Alexandria via LeMat-Bulk.

Computed properties:
Formation energy without anion corrections, eV per formula unit: -1.41
Space group: C2/c
DOS at the Fermi energy, states/eV/cell: 9.76

```
Tl2NiPdSe2
1.0
-4.8296 1.0008 -3.7873
3.2543 -1.6491 -4.5856
-1.2719 -7.3027 4.7974
Ni Pd Se Tl
2 2 4 4
Cartesian
-0.1519 -0.6996 -5.4723 Ni
-1.4234 0.0512 -2.9006 Ni
0.6772 -0.3840 -1.2533 Pd
-2.2525 -0.2644 -7.1196 Pd
-2.8116 -6.1143 -0.2340 Se
-0.0356 -1.8368 -3.3414 Se
-3.7475 -0.5802 -2.6835 Se
0.9003 -7.3709 -0.8920 Se
-0.0759 -5.3941 1.4434 Tl
-1.0710 -5.6753 -2.9057 Tl
-1.7761 -2.2758 -0.6697 Tl
-2.7712 -2.5570 -5.0189 Tl
```

=====

First-principles (PBE) data for a relaxed structure of VNiPdSe4, as listed in Alexandria via LeMat-Bulk.

Computed properties:
Formation energy without anion corrections, eV per formula unit: -2.83
Space group: Imma
DOS at the Fermi energy, states/eV/cell: 7.22

```
VNiPdSe4
1.0
7.5241 0.0000 0.0000
3.7620 6.3481 0.2703
3.7620 2.1914 5.9640
Se V Pd Ni
8 2 2 2
Cartesian
5.5284 3.0768 4.4283 Se
9.5197 5.4627 1.8060 Se
9.5197 3.0768 4.4283 Se
11.2861 6.4114 4.4647 Se
5.5284 5.4627 1.8060 Se
7.5241 1.9359 1.6293 Se
3.7620 2.1282 1.7696 Se
7.5241 6.6036 4.6051 Se
0.0000 0.0000 0.0000 V
3.7620 4.2698 3.1172 V
7.5241 4.2855 0.9466 Pd
7.5241 4.2540 5.2878 Pd
5.6430 1.0957 2.9820 Ni
1.8810 1.0957 2.9820 Ni
```

=====

First-principles (PBE) data for a relaxed structure of Zr2NiPdSe, as listed in Alexandria via LeMat-Bulk.

Computed properties:
Formation energy without anion corrections, eV per formula unit: 1.70
Space group: P4/mmm
DOS at the Fermi energy, states/eV/cell: 4.64

```
Zr2NiPdSe
1.0
-3.4170 -0.9726 3.5610
3.3351 -0.7952 2.9831
-0.0153 4.8561 1.3117
Zr Ni Pd Se
2 1 1 1
Cartesian
-0.0076 2.4281 0.6558 Zr
-1.7085 -0.4863 1.7805 Zr
1.6676 -0.3976 1.4915 Ni
0.0000 0.0000 0.0000 Pd
-0.0486 1.5441 3.9279 Se
```

=====

First-principles (PBE) data for a relaxed structure of Si2Ni5Pd, as listed in Alexandria via LeMat-Bulk.

Computed properties:
Formation energy without anion corrections, eV per formula unit: -2.97
Space group: Immm
DOS at the Fermi energy, states/eV/cell: 6.74

```
Si2Ni5Pd
1.0
2.6647 0.0003 0.6397
1.0226 5.8011 1.6070
-0.0557 0.2182 6.1017
Ni Pd Si
5 1 2
Cartesian
1.3496 2.6453 6.1164 Ni
2.2820 3.3743 2.2320 Ni
0.4834 3.0096 3.8543 Ni
1.8195 0.9795 4.1600 Ni
1.8122 5.0401 4.1885 Ni
0.0000 0.0000 0.0000 Pd
2.7121 4.5560 6.3099 Si
0.9195 1.4636 2.0385 Si
```